Crystalline Zn2OsPbO8 at its relaxed geometry. Source: Alexandria via LeMat-Bulk, functional PBE-GGA.

Cell: 4.735 4.725 6.547 Å, 90.00 90.00 93.17°
Fractional coordinates of all 12 atoms:
Os  0.000  0.000  0.000
O  0.189  0.808  0.793
O  0.189  0.808  0.207
O  0.711  0.712  0.000
O  0.685  0.687  0.500
O  0.811  0.192  0.207
O  0.811  0.192  0.793
O  0.315  0.313  0.500
O  0.289  0.288  0.000
Pb  0.000  0.000  0.500
Zn  0.500  0.500  0.244
Zn  0.500  0.500  0.756

Calculated values
raw total energy: -68.40 eV for the cell shown
total magnetization: 0.00 μB per cell
density of states at the Fermi level: 3.831 states/eV/cell